The following is a DFT calculation (GGA+U) of NdZr2VO8 after structural relaxation.

a = 6.8569 Å, b = 7.0557 Å, c = 6.6067 Å
α = 90.00°, β = 90.00°, γ = 90.00°
Space group Cmmm (No. 65)
Asymmetric unit:
Nd 0.0000 0.0000 0.0000 (multiplicity 2)
Zr 0.0000 0.5000 0.2587 (multiplicity 4)
V 0.0000 0.0000 0.5000 (multiplicity 2)
O 0.0000 0.2907 0.5000 (multiplicity 4)
O 0.0000 0.3235 0.0000 (multiplicity 4)
O 0.1919 0.0000 0.2968 (multiplicity 8)

Output
mass density = 5.25 g/cm3
crystal system = orthorhombic
calculated total energy = -0.3147 Ha/atom